Record 1
Material: Al2CuPt
Method: DFT, GGA-PBE
State: optimized geometry Values from VASP.

The structure in Quantum ESPRESSO input format:
```
&SYSTEM
  ibrav = 0, nat = 4, ntyp = 3
/
ATOMIC_SPECIES
Al 26.98 Al.upf
Cu 63.55 Cu.upf
Pt 195.08 Pt.upf
CELL_PARAMETERS angstrom
4.120 0.000 0.000
2.060 3.568 0.000
2.060 1.189 4.415
ATOMIC_POSITIONS angstrom
Al 2.060 1.189 3.522
Al 2.060 1.189 0.834
Cu 4.120 2.378 2.453
Pt 6.179 3.568 4.229
```

spin magnetization	0.0	μB per formula unit
formation energy from the elements	-0.4874	eV per atom

Record 2
Material: La2Y4Tm3
Method: DFT, GGA-PBE
State: optimized geometry Values from VASP.

The structure in Quantum ESPRESSO input format:
```
&SYSTEM
  ibrav = 0, nat = 9, ntyp = 3
/
ATOMIC_SPECIES
La 138.91 La.upf
Y 88.91 Y.upf
Tm 168.93 Tm.upf
CELL_PARAMETERS angstrom
-5.295 -4.136 1.620
6.555 -1.828 -1.208
1.055 3.876 7.582
ATOMIC_POSITIONS angstrom
La 1.010 -2.781 1.961
La 1.305 0.692 6.033
Y -1.077 0.002 3.326
Y 3.392 -2.091 4.668
Y -0.025 -2.756 5.484
Y 2.340 0.667 2.510
Tm -2.648 -2.068 0.810
Tm 3.278 -0.914 -0.604
Tm 0.000 0.000 0.000
```

polymorph energy (0 for the lowest one)	71	meV/atom
spin magnetization	0.0	μB per formula unit
formation energy from the elements	0.1673	eV per atom

Record 3
Material: PrUO5
Method: DFT, GGA-PBE
State: optimized geometry Values from VASP.

The structure in Quantum ESPRESSO input format:
```
&SYSTEM
  ibrav = 0, nat = 7, ntyp = 3
/
ATOMIC_SPECIES
Pr 140.91 Pr.upf
U 238.03 U.upf
O 16.00 O.upf
CELL_PARAMETERS angstrom
-1.298 3.828 1.191
-2.150 -0.110 5.466
3.863 2.493 3.657
ATOMIC_POSITIONS angstrom
Pr 0.208 3.105 5.157
U 0.000 0.000 0.000
O -0.610 3.498 3.003
O 2.037 1.702 4.206
O -0.649 1.914 0.596
O -0.324 0.681 4.917
O 1.026 2.713 7.311
```

energy relative to the elements, uncorrected	-2.853	eV per atom
spin magnetization	0.0	μB per formula unit

Record 4
Material: Ho4SiPt3
Method: DFT, GGA-PBE
State: optimized geometry Values from VASP.

The structure in Quantum ESPRESSO input format:
```
&SYSTEM
  ibrav = 0, nat = 8, ntyp = 3
/
ATOMIC_SPECIES
Si 28.09 Si.upf
Ho 164.93 Ho.upf
Pt 195.08 Pt.upf
CELL_PARAMETERS angstrom
3.893 0.000 0.000
0.000 4.249 0.000
0.000 0.000 10.672
ATOMIC_POSITIONS angstrom
Si 1.946 2.125 0.818
Ho 1.946 2.125 3.845
Ho 0.000 2.125 9.167
Ho 0.000 0.000 1.493
Ho 1.946 0.000 6.864
Pt 0.000 2.125 6.278
Pt 0.000 0.000 4.365
Pt 1.946 0.000 9.858
```

energy relative to the elements, uncorrected	-1.161	eV per atom
spin magnetization	0.0	μB per formula unit